Here is a relaxed Nd2Nb2Zn crystal from OQMD. Energies are from PBE-GGA.

```
Nd2Nb2Zn
1.0
0.000 5.896 7.527
2.823 0.000 7.527
2.823 5.896 0.000
Nb Nd Zn
4 4 2
Direct
0.125 0.125 0.125 Nb
0.625 0.125 0.125 Nb
0.125 0.625 0.125 Nb
0.125 0.125 0.625 Nb
0.350 0.650 0.350 Nd
0.600 0.900 0.600 Nd
0.650 0.350 0.650 Nd
0.900 0.600 0.900 Nd
0.000 0.000 0.000 Zn
0.250 0.250 0.250 Zn
```

- Formation energy from the elements: 0.6469 eV/atom